[1]
First-principles (GGA-PBE) data for a relaxed Zr2HgAsN crystal, as listed in Alexandria via LeMat-Bulk.

The calculated volume comes out at 18.366 Å³/atom. The raw formation energy is -0.3600 eV/atom. The calculation puts the density at 8.534 g cm⁻³. The value obtained for the total energy is -32.173 eV/cell. The density of states at the Fermi level is 0.585 states/eV/atom.

It has space group P4/mmm (No. 123), with a = 4.487 Å, b = 4.487 Å, c = 4.561 Å, α = 90.00°, β = 90.00° and γ = 90.00°. The distinct sites, in fractional coordinates, are Zr at (0.000, 0.500, 0.000), Hg at (0.000, 0.000, 0.500), As at (0.500, 0.500, 0.500) and N at (0.500, 0.500, 0.000).

---

[2]
First-principles (GGA-PBE) data for a relaxed Na2DyHoO4 crystal, as listed in Alexandria via LeMat-Bulk.

The calculated volume comes out at 14.116 Å³/atom. The raw formation energy is -2.8108 eV/atom. The calculation puts the density at 6.432 g cm⁻³. The value obtained for the total energy is -54.137 eV/cell. The density of states at the Fermi level is 0.000 states/eV/atom.

It has space group P2/m (No. 10), with a = 5.919 Å, b = 3.418 Å, c = 5.920 Å, α = 90.00°, β = 109.47° and γ = 90.00°. The distinct sites, in fractional coordinates, are Na at (0.000, 0.000, 0.000), Na at (0.000, 0.500, 0.500), Dy at (0.500, 0.000, 0.500), Ho at (0.500, 0.500, 0.000), O at (0.289, 0.500, 0.262) and O at (0.290, 0.000, 0.764).

---

[3]
First-principles (GGA-PBE) data for a relaxed BaZrPb crystal, as listed in Alexandria via LeMat-Bulk.

The calculated volume comes out at 38.169 Å³/atom. For the offset from the most stable computed form, the calculation gives 0.569 eV per atom. The formation energy comes out at 0.338 eV per atom. The calculation puts the density at 6.319 g cm⁻³. The value obtained for the total energy is -52.662 eV/cell. The density of states at the Fermi level is 1.004 states/eV/atom.

It has space group F-43m (No. 216), with a = 7.708 Å, b = 7.708 Å, c = 7.708 Å, α = 90.00°, β = 90.00° and γ = 90.00°. The distinct sites, in fractional coordinates, are Ba at (0.000, 0.000, 0.000), Zr at (0.000, 0.000, 0.500) and Pb at (0.250, 0.250, 0.250).

---

[4]
First-principles (GGA-PBE) data for a relaxed Pu2ZnCuO8 crystal, as listed in Alexandria via LeMat-Bulk.

The calculated volume comes out at 12.519 Å³/atom. The raw formation energy is -1.9678 eV/atom. The calculation puts the density at 8.234 g cm⁻³. The value obtained for the total energy is -194.627 eV/cell. The density of states at the Fermi level is 0.353 states/eV/atom.

It has space group Cmmm (No. 65), with a = 6.514 Å, b = 6.636 Å, c = 6.950 Å, α = 90.00°, β = 90.00° and γ = 90.00°. The distinct sites, in fractional coordinates, are Pu at (0.000, 0.000, 0.249), Zn at (0.000, 0.500, 0.500), Cu at (0.000, 0.500, 0.000), O at (0.000, 0.289, 0.251), O at (0.197, 0.000, 0.500) and O at (0.200, 0.000, 0.000).

---

[5]
First-principles (GGA-PBE) data for a relaxed Ca2TaMnI crystal, as listed in Alexandria via LeMat-Bulk.

The calculated volume comes out at 33.162 Å³/atom. The raw formation energy is 1.1033 eV/atom. The calculation puts the density at 4.436 g cm⁻³. The value obtained for the total energy is -21.059 eV/cell. The density of states at the Fermi level is 0.995 states/eV/atom.

It has space group P4/mmm (No. 123), with a = 5.686 Å, b = 5.686 Å, c = 5.129 Å, α = 90.00°, β = 90.00° and γ = 90.00°. The distinct sites, in fractional coordinates, are Ca at (0.000, 0.500, 0.000), Ta at (0.000, 0.000, 0.500), Mn at (0.500, 0.500, 0.500) and I at (0.000, 0.000, 0.000).

---

[6]
First-principles (GGA-PBE) data for a relaxed DyHoAgPt crystal, as listed in Alexandria via LeMat-Bulk.

The calculated volume comes out at 22.234 Å³/atom. The formation energy comes out at -0.794 eV per atom. The calculation puts the density at 11.770 g cm⁻³. The value obtained for the total energy is -84.995 eV/cell. The density of states at the Fermi level is 0.692 states/eV/atom.

It has space group F-43m (No. 216), with a = 7.086 Å, b = 7.086 Å, c = 7.086 Å, α = 90.00°, β = 90.00° and γ = 90.00°. The distinct sites, in fractional coordinates, are Dy at (0.000, 0.000, 0.000), Ho at (0.000, 0.000, 0.500), Ag at (0.250, 0.250, 0.750) and Pt at (0.250, 0.250, 0.250).

---

[7]
First-principles (GGA-PBE) data for a relaxed CuTc2Cl crystal, as listed in Alexandria via LeMat-Bulk.

The calculated volume comes out at 14.241 Å³/atom. For the offset from the most stable computed form, the calculation gives 0.389 eV per atom. The raw formation energy is 0.5641 eV/atom. The calculation puts the density at 8.599 g cm⁻³. The value obtained for the total energy is -73.256 eV/cell. The density of states at the Fermi level is 1.299 states/eV/atom.

It has space group R-3m (No. 166, hexagonal axes), with a = 2.8294 Å, b = 2.8294 Å, c = 24.6503 Å, α = 90.00°, β = 90.00° and γ = 120.00°. The distinct sites, in fractional coordinates, are Cu at (0.0000, 0.0000, 0.0000), Tc at (0.0000, 0.0000, 0.2488) and Cl at (0.0000, 0.0000, 0.5000).

---

[8]
First-principles (GGA-PBE) data for a relaxed Zr2BeW crystal, as listed in Alexandria via LeMat-Bulk.

The calculated volume comes out at 17.612 Å³/atom. The formation energy comes out at 0.212 eV per atom. The calculation puts the density at 8.846 g cm⁻³. The value obtained for the total energy is -65.855 eV/cell. The density of states at the Fermi level is 1.014 states/eV/atom.

It has space group Cmmm (No. 65), with a = 3.605 Å, b = 4.611 Å, c = 8.476 Å, α = 90.00°, β = 90.00° and γ = 90.00°. The distinct sites, in fractional coordinates, are Zr at (0.000, 0.000, 0.232), Be at (0.000, 0.500, 0.000) and W at (0.000, 0.500, 0.500).

---

[9]
First-principles (GGA-PBE) data for a relaxed MgTl3Ag2F9 crystal, as listed in Alexandria via LeMat-Bulk.

The calculated volume comes out at 16.284 Å³/atom. The raw formation energy is -1.8910 eV/atom. The calculation puts the density at 6.962 g cm⁻³. The value obtained for the total energy is -59.602 eV/cell. The density of states at the Fermi level is 0.317 states/eV/atom.

It has space group P-3m1 (No. 164), with a = 6.1221 Å, b = 6.1221 Å, c = 7.5254 Å, α = 90.00°, β = 90.00° and γ = 120.00°. The distinct sites, in fractional coordinates, are Mg at (0.0000, 0.0000, 0.0000), Tl at (0.0000, 0.0000, 0.5000), Tl at (0.3333, 0.6667, 0.1596), Ag at (0.3333, 0.6667, 0.6751), F at (0.0000, 0.5000, 0.5000) and F at (0.1566, 0.3131, 0.8449).

---

[10]
First-principles (GGA-PBE) data for a relaxed B2C crystal, as listed in Alexandria via LeMat-Bulk.

The calculated volume comes out at 7.359 Å³/atom. For the offset from the most stable computed form, the calculation gives 0.184 eV per atom. The formation energy comes out at 0.369 eV per atom. The calculation puts the density at 2.530 g cm⁻³. The value obtained for the total energy is -171.768 eV/cell. The density of states at the Fermi level is 0.047 states/eV/atom.

It has space group C2/m (No. 12), with a = 14.073 Å, b = 2.656 Å, c = 4.904 Å, α = 90.00°, β = 105.49° and γ = 90.00°. The distinct sites, in fractional coordinates, are B at (0.003, 0.000, 0.326), B at (0.124, 0.000, 0.567), B at (0.140, 0.500, 0.961), B at (0.211, 0.000, 0.184), C at (0.022, 0.500, 0.877) and C at (0.180, 0.500, 0.667).

---

[11]
First-principles (GGA-PBE) data for a relaxed Sm2Si4RuPt3 crystal, as listed in Alexandria via LeMat-Bulk.

The calculated volume comes out at 17.468 Å³/atom. The raw formation energy is -1.0907 eV/atom. The calculation puts the density at 10.451 g cm⁻³. The value obtained for the total energy is -69.436 eV/cell. The density of states at the Fermi level is 0.257 states/eV/atom.

It has space group P-4m2 (No. 115), with a = 4.185 Å, b = 4.185 Å, c = 9.976 Å, α = 90.00°, β = 90.00° and γ = 90.00°. The distinct sites, in fractional coordinates, are Sm at (0.000, 0.500, 0.245), Si at (0.000, 0.000, 0.000), Si at (0.000, 0.500, 0.629), Si at (0.500, 0.500, 0.000), Ru at (0.000, 0.000, 0.500), Pt at (0.000, 0.500, 0.874) and Pt at (0.500, 0.500, 0.500).

---

[12]
First-principles (GGA-PBE) data for a relaxed MgBe crystal, as listed in Alexandria via LeMat-Bulk.

The calculated volume comes out at 14.427 Å³/atom. For the offset from the most stable computed form, the calculation gives 0.236 eV per atom. The formation energy comes out at 0.448 eV per atom. The calculation puts the density at 1.917 g cm⁻³. The value obtained for the total energy is -35.398 eV/cell. The density of states at the Fermi level is 0.326 states/eV/atom.

It has space group Fd-3m (No. 227, origin choice 2), with a = 6.134 Å, b = 6.134 Å, c = 6.134 Å, α = 90.00°, β = 90.00° and γ = 90.00°. The distinct sites, in fractional coordinates, are Mg at (0.125, 0.125, 0.125) and Be at (0.125, 0.125, 0.625).